1.
An optimized crystal structure of ThSb2Au. Source: the Alexandria database, functional GGA-PBE.

The structure belongs to space group Pnma (No. 62); the cell edges are 6.413, 4.569 and 14.921 Å and the angles 90.00°, 90.00° and 90.00°. The distinct sites, in fractional coordinates, are Th at (0.228, 0.250, 0.129), Sb at (0.014, 0.750, 0.267), Sb at (0.193, 0.250, 0.472) and Au at (0.109, 0.250, 0.913).



2.
An optimized crystal structure of NbGeF2. Source: the Alexandria database, functional GGA-PBE.

The structure belongs to space group R-3m (No. 166, hexagonal axes); the cell edges are 2.8295, 2.8295 and 30.9924 Å and the angles 90.00°, 90.00° and 120.00°. The distinct sites, in fractional coordinates, are Nb at (0.0000, 0.0000, 0.0000), Ge at (0.0000, 0.0000, 0.5000) and F at (0.0000, 0.0000, 0.3824).



Number 1: ΔE_f (raw) -0.582 eV per atom, DFT total energy -5.32 eV per atom. Number 2: ΔE_f (raw) -1.446 eV per atom, DFT total energy -6.05 eV per atom.